No. 1
Below is an optimized crystal structure of MnAgP, with properties calculated at the PBE-GGA level.

V, A^3/atom: 14.7
Polymorph energy (0 for the lowest one), meV/atom: 61
ρ, kg/m3: 7286
Calculated total energy, eV per atom: -5.649

Cell: 2.8517 2.8517 6.2708 Å, 90.00 90.00 120.00°
Fractional positions:
Mn (0.0000, 0.0000, 0.0000)
Ag (0.6667, 0.3333, 0.6322)
P (0.3333, 0.6667, 0.2381)



No. 2
Below is an optimized crystal structure of Pm2PrHoEr, with properties calculated at the PBE-GGA level.

V, A^3/atom: 35.8
ρ, kg/m3: 7088
Calculated total energy, eV per atom: -4.298

Cell: 7.1919 7.1919 7.2693 Å, 90.00 90.00 108.02°
Fractional positions:
Pm (0.1923, 0.1923, 0.0000)
Pm (0.1923, 0.1923, 0.5000)
Pm (0.8077, 0.8077, 0.0000)
Pm (0.8077, 0.8077, 0.5000)
Pr (0.2266, 0.7734, 0.7500)
Pr (0.7734, 0.2266, 0.2500)
Ho (0.4934, 0.5066, 0.7500)
Ho (0.5066, 0.4934, 0.2500)
Er (0.2301, 0.7699, 0.2500)
Er (0.7699, 0.2301, 0.7500)



No. 3
Below is an optimized crystal structure of Pr3NdTh2Se6, with properties calculated at the PBE-GGA level.

V, A^3/atom: 26.9
ρ, kg/m3: 7739
Uncorrected formation energy, eV/atom: -1.732
Calculated total energy, eV per atom: -6.303

Cell: 7.3202 7.3202 7.3627 Å, 99.56 99.56 119.84°
Fractional positions:
Pr (0.0000, 0.0000, 0.0000)
Pr (0.3365, 0.6635, 0.0000)
Pr (0.6635, 0.3365, 0.0000)
Nd (0.5000, 0.5000, 0.5000)
Th (0.1673, 0.8327, 0.5000)
Th (0.8327, 0.1673, 0.5000)
Se (0.0821, 0.4172, 0.2520)
Se (0.2463, 0.2463, 0.7442)
Se (0.4172, 0.0821, 0.2520)
Se (0.5828, 0.9179, 0.7480)
Se (0.7537, 0.7537, 0.2558)
Se (0.9179, 0.5828, 0.7480)



No. 4
Below is an optimized crystal structure of AsS2ClF, with properties calculated at the PBE-GGA level.

V, A^3/atom: 22.6
Polymorph energy (0 for the lowest one), meV/atom: 0
ρ, kg/m3: 2849
Uncorrected formation energy, eV/atom: 0.402
Calculated total energy, eV per atom: -2.922

Cell: 4.8131 4.8131 4.8684 Å, 90.00 90.00 90.00°
Fractional positions:
As (0.0000, 0.0000, 0.0000)
S (0.0000, 0.5000, 0.0000)
S (0.5000, 0.0000, 0.0000)
Cl (0.0000, 0.0000, 0.5000)
F (0.5000, 0.5000, 0.5000)



No. 5
Below is an optimized crystal structure of EuTi2CdO6F, with properties calculated at the PBE-GGA level.

V, A^3/atom: 12.4
ρ, kg/m3: 5762
Uncorrected formation energy, eV/atom: -2.615
Calculated total energy, eV per atom: -7.942

Cell: 7.2760 7.2760 7.2760 Å, 120.86 118.33 90.72°
Fractional positions:
Eu (0.0000, 0.0000, 0.0000)
Eu (0.5000, 0.0000, 0.5000)
Ti (0.0000, 0.5000, 0.5000)
Ti (0.5000, 0.0000, 0.0000)
Ti (0.5000, 0.5000, 0.0000)
Ti (0.5000, 0.5000, 0.5000)
Cd (0.0000, 0.0000, 0.5000)
Cd (0.0000, 0.5000, 0.0000)
O (0.1679, 0.4179, 0.7500)
O (0.1777, 0.4203, 0.3519)
O (0.1777, 0.8258, 0.7575)
O (0.4202, 0.1702, 0.2500)
O (0.4316, 0.1742, 0.8519)
O (0.4316, 0.5797, 0.2575)
O (0.5684, 0.4203, 0.7425)
O (0.5684, 0.8258, 0.1481)
O (0.5798, 0.8298, 0.7500)
O (0.8223, 0.1742, 0.2425)
O (0.8223, 0.5797, 0.6481)
O (0.8321, 0.5821, 0.2500)
F (0.1236, 0.8736, 0.2500)
F (0.8764, 0.1264, 0.7500)



No. 6
Below is an optimized crystal structure of Tl2NiBr, with properties calculated at the PBE-GGA level.

V, A^3/atom: 25.5
Polymorph energy (0 for the lowest one), meV/atom: 41
ρ, kg/m3: 8926
Uncorrected formation energy, eV/atom: 0.006
Calculated total energy, eV per atom: -3.040

Cell: 3.9343 3.9343 7.9498 Å, 104.63 104.63 59.89°
Fractional positions:
Tl (0.2326, 0.2326, 0.1935)
Tl (0.7674, 0.7674, 0.8065)
Ni (0.5000, 0.5000, 0.0000)
Br (0.0000, 0.0000, 0.5000)



No. 7
Below is an optimized crystal structure of Zr2Be3Cu, with properties calculated at the PBE-GGA level.

V, A^3/atom: 14.3
ρ, kg/m3: 5285
Calculated total energy, eV per atom: -5.521

Cell: 7.7855 7.4919 5.0837 Å, 73.72 67.47 38.81°
Fractional positions:
Zr (0.2475, 0.7525, 0.7525)
Zr (0.2500, 0.2500, 0.2500)
Zr (0.7500, 0.7500, 0.7500)
Zr (0.7525, 0.2475, 0.2475)
Be (0.1744, 0.6626, 0.3374)
Be (0.3374, 0.3374, 0.6626)
Be (0.3374, 0.8256, 0.1744)
Be (0.6626, 0.1744, 0.8256)
Be (0.6626, 0.6626, 0.3374)
Be (0.8256, 0.3374, 0.6626)
Cu (0.1671, 0.1671, 0.8329)
Cu (0.8329, 0.8329, 0.1671)



No. 8
Below is an optimized crystal structure of Ba3HfGa, with properties calculated at the PBE-GGA level.

V, A^3/atom: 50.5
Polymorph energy (0 for the lowest one), meV/atom: 0
ρ, kg/m3: 4341
Calculated total energy, eV per atom: -3.011

Cell: 6.3209 6.3209 6.3209 Å, 90.00 90.00 90.00°
Fractional positions:
Ba (0.0000, 0.0000, 0.5000)
Ba (0.0000, 0.5000, 0.0000)
Ba (0.5000, 0.0000, 0.0000)
Hf (0.5000, 0.5000, 0.5000)
Ga (0.0000, 0.0000, 0.0000)



No. 9
Below is an optimized crystal structure of LaYMg6, with properties calculated at the PBE-GGA level.

V, A^3/atom: 25.4
Polymorph energy (0 for the lowest one), meV/atom: 0
ρ, kg/m3: 3049
Calculated total energy, eV per atom: -2.733

Cell: 9.0883 9.0883 9.0883 Å, 33.48 33.48 33.48°
Fractional positions:
La (0.0000, 0.0000, 0.0000)
Y (0.5000, 0.5000, 0.5000)
Mg (0.1270, 0.1270, 0.1270)
Mg (0.2491, 0.2491, 0.2491)
Mg (0.3777, 0.3777, 0.3777)
Mg (0.6223, 0.6223, 0.6223)
Mg (0.7509, 0.7509, 0.7509)
Mg (0.8730, 0.8730, 0.8730)



No. 10
Below is an optimized crystal structure of HoErPuSc, with properties calculated at the PBE-GGA level.

V, A^3/atom: 28.3
ρ, kg/m3: 9104
Calculated total energy, eV per atom: -7.279

Cell: 5.4314 5.4314 5.4314 Å, 60.00 60.00 60.00°
Fractional positions:
Ho (0.0000, 0.0000, 0.0000)
Er (0.7500, 0.7500, 0.7500)
Pu (0.5000, 0.5000, 0.5000)
Sc (0.2500, 0.2500, 0.2500)



No. 11
Below is an optimized crystal structure of ZrPd3Pb, with properties calculated at the PBE-GGA level.

V, A^3/atom: 24.8
Polymorph energy (0 for the lowest one), meV/atom: 0
ρ, kg/m3: 8280
Calculated total energy, eV per atom: -5.171

Cell: 4.9849 4.9849 4.9849 Å, 90.00 90.00 90.00°
Fractional positions:
Zr (0.0000, 0.0000, 0.0000)
Pd (0.0000, 0.0000, 0.5000)
Pd (0.0000, 0.5000, 0.0000)
Pd (0.5000, 0.0000, 0.0000)
Pb (0.5000, 0.5000, 0.5000)



No. 12
Below is an optimized crystal structure of Rb4Pm3UTe8, with properties calculated at the PBE-GGA level.

V, A^3/atom: 39.6
ρ, kg/m3: 5341
Uncorrected formation energy, eV/atom: -1.258
Calculated total energy, eV per atom: -4.667

Cell: 10.1000 10.1000 10.1000 Å, 54.37 54.37 54.37°
Fractional positions:
Rb (0.0000, 0.0000, 0.0000)
Rb (0.0000, 0.5000, 0.5000)
Rb (0.5000, 0.0000, 0.5000)
Rb (0.5000, 0.5000, 0.0000)
Pm (0.0000, 0.0000, 0.5000)
Pm (0.0000, 0.5000, 0.0000)
Pm (0.5000, 0.0000, 0.0000)
U (0.5000, 0.5000, 0.5000)
Te (0.2349, 0.2349, 0.2349)
Te (0.2360, 0.7338, 0.7338)
Te (0.2662, 0.2662, 0.7640)
Te (0.2662, 0.7640, 0.2662)
Te (0.7338, 0.2360, 0.7338)
Te (0.7338, 0.7338, 0.2360)
Te (0.7640, 0.2662, 0.2662)
Te (0.7651, 0.7651, 0.7651)



Q: Which value of ρ does entry 10 give?
A: 9104 kg/m3



What did the eighth record say?
Below is an optimized crystal structure of Ba3HfGa, with properties calculated at the PBE-GGA level.

V, A^3/atom: 50.5
Polymorph energy (0 for the lowest one), meV/atom: 0
ρ, kg/m3: 4341
Calculated total energy, eV per atom: -3.011

Cell: 6.3209 6.3209 6.3209 Å, 90.00 90.00 90.00°
Fractional positions:
Ba (0.0000, 0.0000, 0.5000)
Ba (0.0000, 0.5000, 0.0000)
Ba (0.5000, 0.0000, 0.0000)
Hf (0.5000, 0.5000, 0.5000)
Ga (0.0000, 0.0000, 0.0000)